Computed, not measured: a geometry-optimized GdPd2Au structure at the PBE-GGA level of DFT.

mass density	12.4	Mg/m³
VASP energy	-7.646	eV/atom
ΔE to the lowest computed polymorph	0.095	eV per atom
formation energy	-710	meV/atom

Geometry as CIF:
```
data_GdPd2Au
_cell_length_a 6.7207
_cell_length_b 6.7207
_cell_length_c 6.7207
_cell_angle_alpha 90.00
_cell_angle_beta 90.00
_cell_angle_gamma 90.00
_space_group_name_H-M_alt 'F m -3 m'
_space_group_IT_number 225
_space_group_name_Hall '-F 4 2 3'
loop_
_atom_site_label
_atom_site_type_symbol
_atom_site_fract_x
_atom_site_fract_y
_atom_site_fract_z
_atom_site_occupancy
Gd1 Gd 0.0000 0.0000 0.0000 1
Pd1 Pd 0.2500 0.2500 0.2500 1
Au1 Au 0.0000 0.0000 0.5000 1
```